DFT (PBE) results for NaAs2Pd after structural relaxation.

Cell lengths 4.6587, 4.6587, 4.6587 Å; angles 60.00, 60.00, 60.00 degrees
Closest atoms and distances in Å follow each position.
Element x y z (fractional)
Na 0.0000 0.0000 0.0000  8 As 2.85
As 0.2500 0.2500 0.2500  4 Na 2.85, 4 Pd 2.85
As 0.7500 0.7500 0.7500  4 Pd 2.85, 4 Na 2.85
Pd 0.5000 0.5000 0.5000  8 As 2.85

Properties
total magnetic moment	0.000	μB/f.u.
uncorrected energy	-4.105	eV/atom
volume	71	Å³ per cell
calculated density	6486	kg/m3
ΔE to the lowest computed polymorph	199	meV/atom